First-principles (PBE) data for a geometry-optimized RbHoNiBr6 structure, as listed in the Alexandria database.

```
RbHoNiBr6
1.0
6.995 0.000 0.000
-3.498 6.058 0.000
0.000 0.000 7.757
Rb Ho Ni Br
1 1 1 6
direct
0.000 0.000 0.000
0.333 0.667 0.500
0.667 0.333 0.500
0.382 0.023 0.698
0.382 0.360 0.302
0.640 0.023 0.302
0.640 0.618 0.698
0.977 0.360 0.698
0.977 0.618 0.302
```

Computed properties:
Formation energy (no corrections) (meV/atom): -1320
SG: P312 (149)
Magnetic moment (Bohr magnetons per cell): 2.05
VASP energy (eV for the cell shown): -33.2